Material: Nb2AlC
Method: DFT, PBEsol
State: relaxed

Output
Total moment (μB/cell): 0.000
Distance to the lowest polymorph of the same formula (kJ/mol of atoms): 66.4
Energy of formation (eV/atom): 0.140

Lattice parameters (Å, degrees): 5.3692 5.3692 5.3692 106.48 106.48 115.64
With the nearest neighbours (Å) after each atom.
Fractional positions:
C  0.5000  0.5000  0.0000  4 Nb 2.13
C  0.7500  0.2500  0.5000  4 Nb 2.13
Nb  0.8126  0.8750  0.4376  2 C 2.13
Nb  0.4374  0.3750  0.5624  2 C 2.13
Nb  0.1250  0.5626  0.9376  2 C 2.13
Nb  0.6250  0.1874  0.0624  2 C 2.13
Al  0.0000  0.0000  0.0000  8 Nb 2.67-2.94, 2 C 2.86
Al  0.2500  0.7500  0.5000  8 Nb 2.67-2.94, 2 C 2.86

***

Material: NiSbTe2P
Method: DFT, PBEsol
State: relaxed

Output
Total moment (μB/cell): 0.000

Lattice parameters (Å, degrees): 4.8001 4.9443 4.9443 90.00 90.00 90.00
With the nearest neighbours (Å) after each atom.
Fractional positions:
Sb  0.5000  0.0000  0.0000  2 Ni 2.40
Te  0.0000  0.0000  0.5000  2 Ni 2.47
Te  0.0000  0.5000  0.0000  2 Ni 2.47
P  0.5000  0.5000  0.5000  8 Te 3.45, 4 Sb 3.50
Ni  0.0000  0.0000  0.0000  2 Sb 2.40, 4 Te 2.47

***

Material: La2SiCl
Method: DFT, PBEsol
State: relaxed

Output
Total moment (μB/cell): 0.000
Distance to the lowest polymorph of the same formula (kJ/mol of atoms): 53.9

Lattice parameters (Å, degrees): 6.0005 6.0005 8.6943 110.19 110.19 90.00
With the nearest neighbours (Å) after each atom.
Fractional positions:
Si  0.7500  0.2500  0.5000  4 La 2.85
Si  0.5000  0.5000  0.0000  4 La 2.85
Cl  0.2500  0.7500  0.5000  4 La 2.84
Cl  0.0000  0.0000  0.0000  4 La 2.84
La  0.3743  0.8750  0.2500  2 Cl 2.84, 2 Si 2.85
La  0.8757  0.3750  0.2500  2 Cl 2.84, 2 Si 2.85
La  0.1250  0.1243  0.7500  2 Cl 2.84, 2 Si 2.85
La  0.6250  0.6257  0.7500  2 Cl 2.84, 2 Si 2.85

***

Material: SnOsWI2
Method: DFT, PBEsol
State: relaxed

Output
Total moment (μB/cell): 0.001

Lattice parameters (Å, degrees): 4.8052 5.2992 5.2992 90.00 90.00 90.00
With the nearest neighbours (Å) after each atom.
Fractional positions:
I  0.0000  0.0000  0.5000  2 W 2.65
I  0.0000  0.5000  0.0000  2 W 2.65
Os  0.5000  0.0000  0.0000  2 W 2.40
Sn  0.5000  0.5000  0.5000  8 I 3.58, 4 Os 3.75
W  0.0000  0.0000  0.0000  2 Os 2.40, 4 I 2.65

***

Material: SmRu2
Method: DFT, PBEsol
State: relaxed

Output
Total moment (μB/cell): 0.000
Energy of formation (eV/atom): -0.172

Lattice parameters (Å, degrees): 5.2341 5.2341 8.9037 90.00 90.00 120.00
With the nearest neighbours (Å) after each atom.
Fractional positions:
Ru  0.1693  0.3385  0.7500  6 Ru 2.58-2.70
Ru  0.1693  0.8307  0.7500  6 Ru 2.58-2.70
Ru  0.3385  0.1693  0.2500  6 Ru 2.58-2.70
Ru  0.8307  0.6615  0.2500  6 Ru 2.58-2.70
Ru  0.6615  0.8307  0.7500  6 Ru 2.58-2.70
Ru  0.0000  0.0000  0.0000  6 Ru 2.70
Ru  0.8307  0.1693  0.2500  6 Ru 2.58-2.70
Ru  0.0000  0.0000  0.5000  6 Ru 2.70
Sm  0.3333  0.6667  0.4336  12 Ru 3.08-3.19, 4 Sm 3.25-3.27
Sm  0.6667  0.3333  0.5664  12 Ru 3.08-3.19, 4 Sm 3.25-3.27
Sm  0.6667  0.3333  0.9336  12 Ru 3.08-3.19, 4 Sm 3.25-3.27
Sm  0.3333  0.6667  0.0664  12 Ru 3.08-3.19, 4 Sm 3.25-3.27

***

Material: FeSi2Os
Method: DFT, PBEsol
State: relaxed

Output
Total moment (μB/cell): 0.002

Lattice parameters (Å, degrees): 2.7488 3.7023 4.8559 90.00 90.16 90.00
With the nearest neighbours (Å) after each atom.
Fractional positions:
Fe  0.5000  0.5000  0.0000  4 Si 2.22
Os  0.0000  0.5000  0.5000  8 Si 2.59-2.61, 2 Os 2.75, 4 Fe 2.79
Si  0.5089  0.0000  0.7488  2 Fe 2.22, 2 Si 2.42-2.44
Si  0.4911  0.0000  0.2512  2 Fe 2.22, 2 Si 2.42-2.44

***

Electronic total energy readings, ordered: -8.705; -4.143; -5.319; -5.336; -8.651; -8.285 eV/atom